Record 1
DFT (PBE) results for crystalline Ac2SiGeRh6 at its relaxed geometry.

Values from the calculation:
Formation energy from raw total energies (eV/atom): -0.5795
VASP energy (eV/cell): -68.16
Spin magnetization (μB/f.u.): 0.00

extended XYZ file:
```
10
Lattice="-3.2670 3.2766 4.6276 3.2670 -3.2766 4.6276 3.2670 3.2766 -4.6276" Properties=species:S:1:pos:R:3 pbc="T T T"
Ac 0.0000 0.0000 2.3137
Ac 0.0000 0.0000 6.9416
Si 0.0000 3.2766 0.0000
Ge 3.2670 0.0000 0.0000
Rh 1.5996 1.6713 0.0000
Rh 1.6675 -1.6052 4.6276
Rh 3.2670 0.0000 2.3612
Rh 0.0000 3.2766 2.2664
Rh 1.5996 4.8818 0.0000
Rh 1.6675 1.6052 4.6276
```

---

Record 2
DFT (PBE) results for crystalline AcSiGeRh3 at its relaxed geometry.

Values from the calculation:
Formation energy from raw total energies (eV/atom): -0.7878
VASP energy (eV/cell): -81.86
Spin magnetization (μB/f.u.): 0.00

extended XYZ file:
```
12
Lattice="2.9302 -7.2149 0.0000 2.9302 7.2149 0.0000 0.0000 0.0000 5.8559" Properties=species:S:1:pos:R:3 pbc="T T T"
Ac 2.9302 3.6872 4.3919
Ac 2.9302 -3.6872 1.4640
Si 2.9302 6.0524 1.4640
Si 2.9302 -6.0524 4.3919
Ge 2.9302 1.2838 1.4640
Ge 2.9302 -1.2838 4.3919
Rh 2.9302 3.7150 1.4640
Rh 1.4435 0.0000 0.0000
Rh 1.4435 0.0000 2.9280
Rh 4.4170 0.0000 0.0000
Rh 4.4170 0.0000 2.9280
Rh 2.9302 -3.7150 4.3919
```

---

Record 3
DFT (PBE) results for crystalline Ac2SiGe3Rh4 at its relaxed geometry.

Values from the calculation:
Formation energy from raw total energies (eV/atom): -0.8655
VASP energy (eV/cell): -65.55
Spin magnetization (μB/f.u.): 0.00

extended XYZ file:
```
10
Lattice="4.3417 0.0000 0.0000 0.0000 4.3417 0.0000 0.0000 0.0000 10.3366" Properties=species:S:1:pos:R:3 pbc="T T T"
Ac 0.0000 2.1709 2.5114
Ac 2.1709 0.0000 7.8252
Si 2.1709 2.1709 0.0000
Ge 0.0000 0.0000 0.0000
Ge 0.0000 2.1709 6.4827
Ge 2.1709 0.0000 3.8539
Rh 0.0000 0.0000 5.1683
Rh 0.0000 2.1709 9.0881
Rh 2.1709 0.0000 1.2486
Rh 2.1709 2.1709 5.1683
```

---

Record 4
DFT (PBE) results for crystalline Ac2Si4GeRh3 at its relaxed geometry.

Values from the calculation:
Formation energy from raw total energies (eV/atom): -0.7986
VASP energy (eV/cell): -64.57
Spin magnetization (μB/f.u.): 0.00

extended XYZ file:
```
10
Lattice="4.3744 0.0000 0.0000 0.0000 4.3744 0.0000 0.0000 0.0000 9.9567" Properties=species:S:1:pos:R:3 pbc="T T T"
Ac 0.0000 2.1872 2.4450
Ac 2.1872 0.0000 7.5117
Si 0.0000 0.0000 0.0000
Si 0.0000 2.1872 6.3264
Si 2.1872 0.0000 3.6303
Si 2.1872 2.1872 0.0000
Ge 0.0000 0.0000 4.9784
Rh 0.0000 2.1872 8.7721
Rh 2.1872 0.0000 1.1847
Rh 2.1872 2.1872 4.9784
```

---

Record 5
DFT (PBE) results for crystalline Ac2SmGe3Rh4 at its relaxed geometry.

Values from the calculation:
VASP energy (eV/cell): -64.62
Formation energy from the elements (eV per atom): -0.84
Spin magnetization (μB/f.u.): 0.00

extended XYZ file:
```
10
Lattice="4.3115 0.0000 0.0000 0.0000 4.3115 0.0000 0.0000 0.0000 11.3711" Properties=species:S:1:pos:R:3 pbc="T T T"
Ac 0.0000 2.1558 2.6501
Ac 2.1558 0.0000 8.7210
Sm 0.0000 0.0000 5.6856
Ge 0.0000 2.1558 10.0494
Ge 2.1558 0.0000 1.3217
Ge 2.1558 2.1558 5.6856
Rh 0.0000 0.0000 0.0000
Rh 0.0000 2.1558 7.5159
Rh 2.1558 0.0000 3.8552
Rh 2.1558 2.1558 0.0000
```

---

Record 6
DFT (PBE) results for crystalline AcSmGeRh at its relaxed geometry.

Values from the calculation:
VASP energy (eV/cell): -22.94
Formation energy from the elements (eV per atom): -0.54
Spin magnetization (μB/f.u.): 0.00
ΔE to the lowest computed polymorph (eV per atom): 0.0060

extended XYZ file:
```
4
Lattice="0.0000 3.7060 3.7060 3.7060 0.0000 3.7060 3.7060 3.7060 0.0000" Properties=species:S:1:pos:R:3 pbc="T T T"
Ac 0.0000 0.0000 0.0000
Sm 3.7060 3.7060 3.7060
Ge 1.8530 1.8530 1.8530
Rh 5.5591 5.5591 5.5591
```

---

Record 7
DFT (PBE) results for crystalline AcSmGeRh at its relaxed geometry.

Values from the calculation:
VASP energy (eV/cell): -45.92
Formation energy from the elements (eV per atom): -0.54
Spin magnetization (μB/f.u.): 0.00
ΔE to the lowest computed polymorph (eV per atom): 0.0000

extended XYZ file:
```
8
Lattice="4.7758 0.0000 0.0000 0.0000 4.7758 0.0000 0.0000 0.0000 10.2927" Properties=species:S:1:pos:R:3 pbc="T T T"
Ac 1.1940 1.1940 1.7994
Ac 3.5819 3.5819 8.4934
Sm 1.1940 3.5819 5.1464
Sm 3.5819 1.1940 5.1464
Ge 1.1940 1.1940 9.0224
Ge 3.5819 3.5819 1.2703
Rh 1.1940 1.1940 6.6612
Rh 3.5819 3.5819 3.6316
```

---

Record 8
DFT (PBE) results for crystalline Ac2SmGe4Rh3 at its relaxed geometry.

Values from the calculation:
VASP energy (eV/cell): -61.06
Formation energy from the elements (eV per atom): -0.76
Spin magnetization (μB/f.u.): 0.00

extended XYZ file:
```
10
Lattice="4.4090 0.0000 0.0000 0.0000 4.4090 0.0000 0.0000 0.0000 11.3181" Properties=species:S:1:pos:R:3 pbc="T T T"
Ac 0.0000 2.2045 2.5743
Ac 2.2045 0.0000 8.7438
Sm 0.0000 0.0000 5.6590
Ge 0.0000 0.0000 0.0000
Ge 0.0000 2.2045 7.5632
Ge 2.2045 0.0000 3.7548
Ge 2.2045 2.2045 0.0000
Rh 0.0000 2.2045 10.0726
Rh 2.2045 0.0000 1.2454
Rh 2.2045 2.2045 5.6590
```

---

Record 9
DFT (PBE) results for crystalline AcSnGe2Rh5 at its relaxed geometry.

Values from the calculation:
VASP energy (eV/cell): -58.55
Formation energy from the elements (eV per atom): -0.49
Spin magnetization (μB/f.u.): 0.00

extended XYZ file:
```
9
Lattice="4.2043 0.0000 0.0000 0.0000 4.2043 0.0000 0.0000 0.0000 10.4172" Properties=species:S:1:pos:R:3 pbc="T T T"
Ac 0.0000 0.0000 0.0000
Sn 0.0000 0.0000 5.2086
Ge 2.1021 2.1021 2.3989
Ge 2.1021 2.1021 8.0182
Rh 0.0000 2.1021 3.5896
Rh 0.0000 2.1021 6.8276
Rh 2.1021 0.0000 3.5896
Rh 2.1021 0.0000 6.8276
Rh 2.1021 2.1021 0.0000
```

---

Record 10
DFT (PBE) results for crystalline Ac2SnGe3Rh4 at its relaxed geometry.

Values from the calculation:
VASP energy (eV/cell): -63.58
Formation energy from the elements (eV per atom): -0.81
Spin magnetization (μB/f.u.): 0.00

extended XYZ file:
```
10
Lattice="4.3887 0.0000 0.0000 0.0000 4.3887 0.0000 0.0000 0.0000 10.6268" Properties=species:S:1:pos:R:3 pbc="T T T"
Ac 0.0000 2.1943 2.6218
Ac 2.1943 0.0000 8.0050
Sn 0.0000 0.0000 5.3134
Ge 0.0000 2.1943 9.3301
Ge 2.1943 0.0000 1.2967
Ge 2.1943 2.1943 5.3134
Rh 0.0000 0.0000 0.0000
Rh 0.0000 2.1943 6.8083
Rh 2.1943 0.0000 3.8185
Rh 2.1943 2.1943 0.0000
```

---

Record 11
DFT (PBE) results for crystalline Ac2SnGeRh6 at its relaxed geometry.

Values from the calculation:
VASP energy (eV/cell): -66.33
Formation energy from the elements (eV per atom): -0.54
Spin magnetization (μB/f.u.): 0.00

extended XYZ file:
```
10
Lattice="5.7045 0.0000 0.0000 2.7018 5.9519 0.0000 2.8381 0.0201 6.1703" Properties=species:S:1:pos:R:3 pbc="T T T"
Ac 1.3210 1.2509 1.3182
Ac 9.9234 4.7211 4.8520
Sn 4.2032 2.9759 0.0000
Ge 4.2713 0.0100 3.0851
Rh 2.7819 1.5547 4.4310
Rh 4.4736 2.5115 2.6277
Rh 5.6219 4.6636 1.4598
Rh 5.6225 1.3084 4.7104
Rh 6.7708 3.4605 3.5426
Rh 8.4626 4.4172 1.7393
```

---

Record 12
DFT (PBE) results for crystalline AcSnGeRh3 at its relaxed geometry.

Values from the calculation:
VASP energy (eV/cell): -76.72
Formation energy from the elements (eV per atom): -0.60
Spin magnetization (μB/f.u.): 0.00

extended XYZ file:
```
12
Lattice="2.9743 -7.8017 0.0000 2.9743 7.8017 0.0000 0.0000 0.0000 5.9238" Properties=species:S:1:pos:R:3 pbc="T T T"
Ac 2.9743 3.9372 4.4429
Ac 2.9743 -3.9372 1.4810
Sn 2.9743 1.4885 1.4810
Sn 2.9743 -1.4885 4.4429
Ge 2.9743 6.5042 1.4810
Ge 2.9743 -6.5042 4.4429
Rh 2.9743 4.0838 1.4810
Rh 1.4348 0.0000 0.0000
Rh 1.4348 0.0000 2.9619
Rh 4.5138 0.0000 0.0000
Rh 4.5138 0.0000 2.9619
Rh 2.9743 -4.0838 4.4429
```

---

Record 13
DFT (PBE) results for crystalline SrAcGeRh at its relaxed geometry.

Values from the calculation:
VASP energy (eV/cell): -20.17
Formation energy from the elements (eV per atom): -0.60
Spin magnetization (μB/f.u.): 0.00
ΔE to the lowest computed polymorph (eV per atom): 0.0000

extended XYZ file:
```
4
Lattice="2.1881 1.2633 8.0326 -2.1881 1.2633 8.0326 0.0000 -2.5266 8.0326" Properties=species:S:1:pos:R:3 pbc="T T T"
Sr 0.0000 0.0000 0.0000
Ac 0.0000 0.0000 20.0571
Ge 0.0000 0.0000 14.1086
Rh 0.0000 0.0000 5.7382
```

---

Record 14
DFT (PBE) results for crystalline SrAcGeRh at its relaxed geometry.

Values from the calculation:
VASP energy (eV/cell): -19.23
Formation energy from the elements (eV per atom): -0.37
Spin magnetization (μB/f.u.): 0.00
ΔE to the lowest computed polymorph (eV per atom): 0.2358

extended XYZ file:
```
4
Lattice="0.0000 3.7780 3.7780 3.7780 0.0000 3.7780 3.7780 3.7780 0.0000" Properties=species:S:1:pos:R:3 pbc="T T T"
Sr 0.0000 0.0000 0.0000
Ac 3.7780 3.7780 3.7780
Ge 5.6671 5.6671 5.6671
Rh 1.8890 1.8890 1.8890
```

---

Record 15
DFT (PBE) results for crystalline Ac2TaGe3Rh4 at its relaxed geometry.

Values from the calculation:
VASP energy (eV/cell): -71.01
Formation energy from the elements (eV per atom): -0.77
Spin magnetization (μB/f.u.): 0.00

extended XYZ file:
```
10
Lattice="4.3282 0.0000 0.0000 0.0000 4.3282 0.0000 0.0000 0.0000 10.6779" Properties=species:S:1:pos:R:3 pbc="T T T"
Ac 0.0000 2.1641 2.6208
Ac 2.1641 0.0000 8.0571
Ta 0.0000 0.0000 5.3390
Ge 0.0000 2.1641 9.3600
Ge 2.1641 0.0000 1.3180
Ge 2.1641 2.1641 5.3390
Rh 0.0000 0.0000 0.0000
Rh 0.0000 2.1641 6.7631
Rh 2.1641 0.0000 3.9148
Rh 2.1641 2.1641 0.0000
```

---

Record 16
DFT (PBE) results for crystalline Ac2TbGe3Rh4 at its relaxed geometry.

Values from the calculation:
VASP energy (eV/cell): -64.74
Formation energy from the elements (eV per atom): -0.86
Spin magnetization (μB/f.u.): 0.00

extended XYZ file:
```
10
Lattice="4.2990 0.0000 0.0000 0.0000 4.2990 0.0000 0.0000 0.0000 11.3187" Properties=species:S:1:pos:R:3 pbc="T T T"
Ac 0.0000 2.1495 2.6554
Ac 2.1495 0.0000 8.6633
Tb 0.0000 0.0000 5.6593
Ge 0.0000 2.1495 9.9916
Ge 2.1495 0.0000 1.3271
Ge 2.1495 2.1495 5.6593
Rh 0.0000 0.0000 0.0000
Rh 0.0000 2.1495 7.4410
Rh 2.1495 0.0000 3.8777
Rh 2.1495 2.1495 0.0000
```

---

Record 17
DFT (PBE) results for crystalline Ac2TbGe4Rh3 at its relaxed geometry.

Values from the calculation:
VASP energy (eV/cell): -61.17
Formation energy from the elements (eV per atom): -0.78
Spin magnetization (μB/f.u.): 0.00

extended XYZ file:
```
10
Lattice="4.3933 0.0000 0.0000 0.0000 4.3933 0.0000 0.0000 0.0000 11.2634" Properties=species:S:1:pos:R:3 pbc="T T T"
Ac 0.0000 2.1967 2.5786
Ac 2.1967 0.0000 8.6849
Tb 0.0000 0.0000 5.6317
Ge 0.0000 0.0000 0.0000
Ge 0.0000 2.1967 7.4784
Ge 2.1967 0.0000 3.7850
Ge 2.1967 2.1967 0.0000
Rh 0.0000 2.1967 10.0023
Rh 2.1967 0.0000 1.2611
Rh 2.1967 2.1967 5.6317
```

---

Record 18
DFT (PBE) results for crystalline AcTcGe3Rh at its relaxed geometry.

Values from the calculation:
VASP energy (eV/cell): -75.89
Formation energy from the elements (eV per atom): -0.38
Spin magnetization (μB/f.u.): 0.00

extended XYZ file:
```
12
Lattice="3.7592 -5.8503 0.0000 3.7592 5.8503 0.0000 0.0000 0.0000 6.0495" Properties=species:S:1:pos:R:3 pbc="T T T"
Ac 3.7592 2.9802 4.5371
Ac 3.7592 -2.9802 1.5124
Tc 3.7592 0.5866 1.5124
Tc 3.7592 -0.5866 4.5371
Ge 1.8624 0.0000 0.0000
Ge 1.8624 0.0000 3.0247
Ge 3.7592 2.8971 1.5124
Ge 3.7592 -2.8971 4.5371
Ge 5.6559 0.0000 0.0000
Ge 5.6559 0.0000 3.0247
Rh 3.7592 5.2112 1.5124
Rh 3.7592 -5.2112 4.5371
```

---

Record 19
DFT (PBE) results for crystalline Ac8Ge3Te4Rh at its relaxed geometry.

Values from the calculation:
Formation energy from raw total energies (eV/atom): -1.1636
VASP energy (eV/cell): -85.26
Spin magnetization (μB/f.u.): 0.00

extended XYZ file:
```
16
Lattice="4.6093 2.6612 7.8113 -4.6093 2.6612 7.8113 0.0000 -5.3224 7.8113" Properties=species:S:1:pos:R:3 pbc="T T T"
Ac 0.0000 0.0000 5.6797
Ac -2.2631 -1.3066 13.4116
Ac 0.0000 -2.6132 10.0224
Ac -2.2631 1.3066 10.0224
Ac 2.2631 -1.3066 13.4116
Ac 0.0000 2.6132 13.4116
Ac 2.2631 1.3066 10.0224
Ac 0.0000 0.0000 17.7543
Ge -4.6093 0.0000 11.7170
Ge -2.3047 1.3306 3.9057
Ge 2.3047 1.3306 3.9057
Te 0.0000 0.0000 0.0000
Te -2.3047 -1.3306 7.8113
Te -2.3047 1.3306 15.6226
Te 0.0000 2.6612 7.8113
Rh 0.0000 0.0000 11.7170
```

---

Record 20
DFT (PBE) results for crystalline Ac8GeTe3Rh3 at its relaxed geometry.

Values from the calculation:
Formation energy from raw total energies (eV/atom): -0.9583
VASP energy (eV/cell): -83.34
Spin magnetization (μB/f.u.): 0.00

extended XYZ file:
```
15
Lattice="4.4790 2.5860 7.8206 -4.4790 2.5860 7.8206 0.0000 -5.1719 7.8206" Properties=species:S:1:pos:R:3 pbc="T T T"
Ac -2.3141 -1.3361 13.3751
Ac 0.0000 0.0000 5.5998
Ac 0.0000 -2.6721 10.0866
Ac -2.3141 1.3361 10.0866
Ac 2.3141 -1.3361 13.3751
Ac 0.0000 2.6721 13.3751
Ac 0.0000 0.0000 17.8619
Ac 2.3141 1.3361 10.0866
Ge 0.0000 0.0000 11.7308
Te -2.2395 -1.2930 7.8206
Te -2.2395 1.2930 15.6411
Te 0.0000 2.5860 7.8206
Rh -4.4790 0.0000 11.7308
Rh -2.2395 1.2930 3.9103
Rh 2.2395 1.2930 3.9103
```

---

Record 21
DFT (PBE) results for crystalline Ac2ThGe3Rh12 at its relaxed geometry.

Values from the calculation:
VASP energy (eV/cell): -119.92
Formation energy from the elements (eV per atom): -0.12
Spin magnetization (μB/f.u.): 0.00

extended XYZ file:
```
18
Lattice="4.1678 2.4063 5.9950 -4.1678 2.4063 5.9950 0.0000 -4.8125 5.9950" Properties=species:S:1:pos:R:3 pbc="T T T"
Ac 0.0000 0.0000 1.8613
Ac 0.0000 0.0000 16.1237
Th 0.0000 0.0000 8.9925
Ge -2.0839 -1.2031 5.9950
Ge -2.0839 1.2031 11.9900
Ge 0.0000 2.4063 5.9950
Rh -2.2435 -1.2953 8.4092
Rh 0.0000 -2.2185 5.3265
Rh -1.9212 1.1092 5.3265
Rh 0.0000 -2.5906 9.5758
Rh -2.2435 1.2953 9.5758
Rh -1.9212 -1.1092 12.6585
Rh 1.9212 1.1092 5.3265
Rh 2.2435 -1.2953 8.4092
Rh 0.0000 2.5906 8.4092
Rh 1.9212 -1.1092 12.6585
Rh 0.0000 2.2185 12.6585
Rh 2.2435 1.2953 9.5758
```

---

Record 22
DFT (PBE) results for crystalline Ac2TiGe4Rh3 at its relaxed geometry.

Values from the calculation:
VASP energy (eV/cell): -64.33
Formation energy from the elements (eV per atom): -0.77
Spin magnetization (μB/f.u.): 0.00

extended XYZ file:
```
10
Lattice="4.3597 0.0000 0.0000 0.0000 4.3597 0.0000 0.0000 0.0000 10.6931" Properties=species:S:1:pos:R:3 pbc="T T T"
Ac 0.0000 2.1798 2.5929
Ac 2.1798 0.0000 8.1001
Ti 0.0000 0.0000 5.3465
Ge 0.0000 0.0000 0.0000
Ge 0.0000 2.1798 6.7976
Ge 2.1798 0.0000 3.8955
Ge 2.1798 2.1798 0.0000
Rh 0.0000 2.1798 9.4186
Rh 2.1798 0.0000 1.2745
Rh 2.1798 2.1798 5.3465
```